Record 1
# PmTmPa (PBE, optimized geometry)
data_PmTmPa
_cell_length_a 8.0698
_cell_length_b 8.0698
_cell_length_c 4.7876
_cell_angle_alpha 90.00
_cell_angle_beta 90.00
_cell_angle_gamma 145.59
_space_group_name_H-M_alt 'P 1'
_space_group_IT_number 1
loop_
_space_group_symop_operation_xyz
'x,y,z'
loop_
_atom_site_label
_atom_site_fract_x
_atom_site_fract_y
_atom_site_fract_z
_atom_site_occupancy
Pm1 0.0931 0.9069 0.7500 1
Pm2 0.9069 0.0931 0.2500 1
Tm1 0.4070 0.5930 0.7500 1
Tm2 0.5930 0.4070 0.2500 1
Pa1 0.2501 0.7499 0.2500 1
Pa2 0.7499 0.2501 0.7500 1
# **ΔE_f**: 0.161 eV per atom
# **Theoretical density**: 10.272 g cm⁻³
# **ΔE to the lowest computed polymorph**: 24 meV per atom

---

Record 2
# PmTmPa (PBE, optimized geometry)
data_PmTmPa
_cell_length_a 3.4293
_cell_length_b 3.4293
_cell_length_c 8.5939
_cell_angle_alpha 90.00
_cell_angle_beta 90.00
_cell_angle_gamma 120.00
_space_group_name_H-M_alt 'P 1'
_space_group_IT_number 1
loop_
_space_group_symop_operation_xyz
'x,y,z'
loop_
_atom_site_label
_atom_site_fract_x
_atom_site_fract_y
_atom_site_fract_z
_atom_site_occupancy
Pm1 0.0000 0.0000 0.0000 1
Tm1 0.3333 0.6667 0.6390 1
Pa1 0.6667 0.3333 0.3248 1
# **ΔE_f**: 0.137 eV per atom
# **Theoretical density**: 10.339 g cm⁻³
# **ΔE to the lowest computed polymorph**: 0 meV per atom

---

Record 3
# Pm2TmPa (PBE, optimized geometry)
data_Pm2TmPa
_cell_length_a 4.9787
_cell_length_b 4.9787
_cell_length_c 4.9100
_cell_angle_alpha 90.00
_cell_angle_beta 90.00
_cell_angle_gamma 90.00
_space_group_name_H-M_alt 'P 1'
_space_group_IT_number 1
loop_
_space_group_symop_operation_xyz
'x,y,z'
loop_
_atom_site_label
_atom_site_fract_x
_atom_site_fract_y
_atom_site_fract_z
_atom_site_occupancy
Pm1 0.0000 0.5000 0.0000 1
Pm2 0.5000 0.0000 0.0000 1
Tm1 0.0000 0.0000 0.5000 1
Pa1 0.5000 0.5000 0.5000 1
# **ΔE_f**: 0.244 eV per atom
# **Theoretical density**: 9.414 g cm⁻³
# **ΔE to the lowest computed polymorph**: 79 meV per atom

---

Record 4
# PmTmPa (PBE, optimized geometry)
data_PmTmPa
_cell_length_a 8.0032
_cell_length_b 8.0032
_cell_length_c 8.0032
_cell_angle_alpha 155.45
_cell_angle_beta 155.45
_cell_angle_gamma 35.00
_space_group_name_H-M_alt 'P 1'
_space_group_IT_number 1
loop_
_space_group_symop_operation_xyz
'x,y,z'
loop_
_atom_site_label
_atom_site_fract_x
_atom_site_fract_y
_atom_site_fract_z
_atom_site_occupancy
Pm1 0.0000 0.0000 0.0000 1
Tm1 0.3121 0.3121 0.0000 1
Pa1 0.6593 0.6593 0.0000 1
# **ΔE_f**: 0.162 eV per atom
# **Theoretical density**: 10.235 g cm⁻³
# **ΔE to the lowest computed polymorph**: 25 meV per atom

---

Record 5
# Pm2TmPa (PBE, optimized geometry)
data_Pm2TmPa
_cell_length_a 3.4360
_cell_length_b 3.4360
_cell_length_c 10.3369
_cell_angle_alpha 90.00
_cell_angle_beta 90.00
_cell_angle_gamma 90.00
_space_group_name_H-M_alt 'P 1'
_space_group_IT_number 1
loop_
_space_group_symop_operation_xyz
'x,y,z'
loop_
_atom_site_label
_atom_site_fract_x
_atom_site_fract_y
_atom_site_fract_z
_atom_site_occupancy
Pm1 0.0000 0.0000 0.2349 1
Pm2 0.0000 0.0000 0.7651 1
Tm1 0.5000 0.5000 0.5000 1
Pa1 0.5000 0.5000 0.0000 1
# **ΔE_f**: 0.165 eV per atom
# **Theoretical density**: 9.388 g cm⁻³
# **ΔE to the lowest computed polymorph**: 0 meV per atom

---

Record 6
# PmTm2Pa (PBE, optimized geometry)
data_PmTm2Pa
_cell_length_a 3.4190
_cell_length_b 3.4190
_cell_length_c 10.0757
_cell_angle_alpha 90.00
_cell_angle_beta 90.00
_cell_angle_gamma 90.00
_space_group_name_H-M_alt 'P 1'
_space_group_IT_number 1
loop_
_space_group_symop_operation_xyz
'x,y,z'
loop_
_atom_site_label
_atom_site_fract_x
_atom_site_fract_y
_atom_site_fract_z
_atom_site_occupancy
Pm1 0.0000 0.0000 0.0000 1
Tm1 0.5000 0.5000 0.2693 1
Tm2 0.5000 0.5000 0.7307 1
Pa1 0.0000 0.0000 0.5000 1
# **ΔE_f**: 0.121 eV per atom
# **Theoretical density**: 10.065 g cm⁻³
# **ΔE to the lowest computed polymorph**: 0 meV per atom

---

Record 7
# Pm12Y5Pa3 (PBE, optimized geometry)
data_Pm12Y5Pa3
_cell_length_a 15.9948
_cell_length_b 15.9948
_cell_length_c 15.9948
_cell_angle_alpha 109.47
_cell_angle_beta 109.47
_cell_angle_gamma 109.47
_space_group_name_H-M_alt 'P 1'
_space_group_IT_number 1
loop_
_space_group_symop_operation_xyz
'x,y,z'
loop_
_atom_site_label
_atom_site_fract_x
_atom_site_fract_y
_atom_site_fract_z
_atom_site_occupancy
Pm1 0.0597 0.6338 0.3991 1
Pm2 0.0597 0.9259 0.6605 1
Pm3 0.0741 0.2347 0.1338 1
Pm4 0.0741 0.3395 0.9403 1
Pm5 0.1009 0.7347 0.6605 1
Pm6 0.1009 0.8662 0.4403 1
Pm7 0.1338 0.0741 0.2347 1
Pm8 0.1338 0.5597 0.8991 1
Pm9 0.1605 0.2347 0.6009 1
Pm10 0.1605 0.4259 0.5597 1
Pm11 0.2347 0.1338 0.0741 1
Pm12 0.2347 0.6009 0.1605 1
Pm13 0.2653 0.3395 0.8991 1
Pm14 0.2653 0.4259 0.3662 1
Pm15 0.3395 0.8991 0.2653 1
Pm16 0.3395 0.9403 0.0741 1
Pm17 0.3662 0.2653 0.4259 1
Pm18 0.3662 0.6009 0.9403 1
Pm19 0.3991 0.0597 0.6338 1
Pm20 0.3991 0.8395 0.7653 1
Pm21 0.4259 0.3662 0.2653 1
Pm22 0.4259 0.5597 0.1605 1
Pm23 0.4403 0.1009 0.8662 1
Pm24 0.4403 0.8395 0.5741 1
Pm25 0.5597 0.1605 0.4259 1
Pm26 0.5597 0.8991 0.1338 1
Pm27 0.5741 0.4403 0.8395 1
Pm28 0.5741 0.6338 0.7347 1
Pm29 0.6009 0.1605 0.2347 1
Pm30 0.6009 0.9403 0.3662 1
Pm31 0.6338 0.3991 0.0597 1
Pm32 0.6338 0.7347 0.5741 1
Pm33 0.6605 0.0597 0.9259 1
Pm34 0.6605 0.1009 0.7347 1
Pm35 0.7347 0.5741 0.6338 1
Pm36 0.7347 0.6605 0.1009 1
Pm37 0.7653 0.3991 0.8395 1
Pm38 0.7653 0.8662 0.9259 1
Pm39 0.8395 0.5741 0.4403 1
Pm40 0.8395 0.7653 0.3991 1
Pm41 0.8662 0.4403 0.1009 1
Pm42 0.8662 0.9259 0.7653 1
Pm43 0.8991 0.1338 0.5597 1
Pm44 0.8991 0.2653 0.3395 1
Pm45 0.9259 0.6605 0.0597 1
Pm46 0.9259 0.7653 0.8662 1
Pm47 0.9403 0.0741 0.3395 1
Pm48 0.9403 0.3662 0.6009 1
Y1 0.0000 0.0000 0.0000 1
Y2 0.0000 0.0000 0.5000 1
Y3 0.0000 0.5000 0.0000 1
Y4 0.0000 0.5000 0.5000 1
Y5 0.1250 0.7500 0.8750 1
Y6 0.1250 0.8750 0.2500 1
Y7 0.2500 0.1250 0.8750 1
Y8 0.2500 0.6250 0.3750 1
Y9 0.3750 0.2500 0.6250 1
Y10 0.3750 0.6250 0.7500 1
Y11 0.5000 0.0000 0.0000 1
Y12 0.5000 0.0000 0.5000 1
Y13 0.5000 0.5000 0.0000 1
Y14 0.5000 0.5000 0.5000 1
Y15 0.6250 0.3750 0.2500 1
Y16 0.6250 0.7500 0.3750 1
Y17 0.7500 0.3750 0.6250 1
Y18 0.7500 0.8750 0.1250 1
Y19 0.8750 0.1250 0.7500 1
Y20 0.8750 0.2500 0.1250 1
Pa1 0.1250 0.2500 0.3750 1
Pa2 0.1250 0.3750 0.7500 1
Pa3 0.2500 0.3750 0.1250 1
Pa4 0.2500 0.8750 0.6250 1
Pa5 0.3750 0.1250 0.2500 1
Pa6 0.3750 0.7500 0.1250 1
Pa7 0.6250 0.2500 0.8750 1
Pa8 0.6250 0.8750 0.7500 1
Pa9 0.7500 0.1250 0.3750 1
Pa10 0.7500 0.6250 0.8750 1
Pa11 0.8750 0.6250 0.2500 1
Pa12 0.8750 0.7500 0.6250 1
# **ΔE_f**: 1.143 eV per atom
# **Theoretical density**: 6.068 g cm⁻³

---

Record 8
# PmY2Pa (PBE, optimized geometry)
data_PmY2Pa
_cell_length_a 12.5422
_cell_length_b 12.5422
_cell_length_c 12.5422
_cell_angle_alpha 15.38
_cell_angle_beta 15.38
_cell_angle_gamma 15.38
_space_group_name_H-M_alt 'P 1'
_space_group_IT_number 1
loop_
_space_group_symop_operation_xyz
'x,y,z'
loop_
_atom_site_label
_atom_site_fract_x
_atom_site_fract_y
_atom_site_fract_z
_atom_site_occupancy
Pm1 0.0000 0.0000 0.0000 1
Y1 0.4133 0.4133 0.4133 1
Y2 0.5867 0.5867 0.5867 1
Pa1 0.5000 0.5000 0.5000 1
# **ΔE_f**: 0.315 eV per atom
# **Theoretical density**: 7.603 g cm⁻³

---

Record 9
# PmPaZn (PBE, optimized geometry)
data_PmPaZn
_cell_length_a 7.4248
_cell_length_b 7.4248
_cell_length_c 7.4248
_cell_angle_alpha 154.88
_cell_angle_beta 154.88
_cell_angle_gamma 35.82
_space_group_name_H-M_alt 'P 1'
_space_group_IT_number 1
loop_
_space_group_symop_operation_xyz
'x,y,z'
loop_
_atom_site_label
_atom_site_fract_x
_atom_site_fract_y
_atom_site_fract_z
_atom_site_occupancy
Pm1 0.0000 0.0000 0.0000 1
Pa1 0.3061 0.3061 0.0000 1
Zn1 0.6567 0.6567 0.0000 1
# **ΔE_f**: 0.068 eV per atom
# **Theoretical density**: 9.951 g cm⁻³
# **ΔE to the lowest computed polymorph**: 0 meV per atom

---

Record 10
# PmPaZn (PBE, optimized geometry)
data_PmPaZn
_cell_length_a 8.6249
_cell_length_b 7.6548
_cell_length_c 7.6489
_cell_angle_alpha 68.61
_cell_angle_beta 55.73
_cell_angle_gamma 55.66
_space_group_name_H-M_alt 'P 1'
_space_group_IT_number 1
loop_
_space_group_symop_operation_xyz
'x,y,z'
loop_
_atom_site_label
_atom_site_fract_x
_atom_site_fract_y
_atom_site_fract_z
_atom_site_occupancy
Pm1 0.0103 0.7397 0.0103 1
Pm2 0.2603 0.9897 0.2603 1
Pm3 0.7397 0.0103 0.7397 1
Pm4 0.9897 0.2603 0.9897 1
Pa1 0.0000 0.5000 0.5000 1
Pa2 0.5000 0.0000 0.5000 1
Pa3 0.5000 0.5000 0.0000 1
Pa4 0.5000 0.5000 0.5000 1
Zn1 0.0691 0.0691 0.6809 1
Zn2 0.3191 0.3191 0.9309 1
Zn3 0.6809 0.6809 0.0691 1
Zn4 0.9309 0.9309 0.3191 1
# **ΔE_f**: 0.526 eV per atom
# **Theoretical density**: 8.529 g cm⁻³
# **ΔE to the lowest computed polymorph**: 458 meV per atom

---

Record 11
# PmPaZn2 (PBE, optimized geometry)
data_PmPaZn2
_cell_length_a 5.2887
_cell_length_b 5.2887
_cell_length_c 3.2750
_cell_angle_alpha 90.00
_cell_angle_beta 90.00
_cell_angle_gamma 90.00
_space_group_name_H-M_alt 'P 1'
_space_group_IT_number 1
loop_
_space_group_symop_operation_xyz
'x,y,z'
loop_
_atom_site_label
_atom_site_fract_x
_atom_site_fract_y
_atom_site_fract_z
_atom_site_occupancy
Pm1 0.0000 0.0000 0.0000 1
Pa1 0.5000 0.5000 0.0000 1
Zn1 0.0000 0.5000 0.5000 1
Zn2 0.5000 0.0000 0.5000 1
# **ΔE_f**: -0.045 eV per atom
# **Theoretical density**: 9.188 g cm⁻³
# **ΔE to the lowest computed polymorph**: 40 meV per atom

---

Record 12
# Pm2PaZn (PBE, optimized geometry)
data_Pm2PaZn
_cell_length_a 11.6620
_cell_length_b 11.6620
_cell_length_c 11.6620
_cell_angle_alpha 16.29
_cell_angle_beta 16.29
_cell_angle_gamma 16.29
_space_group_name_H-M_alt 'P 1'
_space_group_IT_number 1
loop_
_space_group_symop_operation_xyz
'x,y,z'
loop_
_atom_site_label
_atom_site_fract_x
_atom_site_fract_y
_atom_site_fract_z
_atom_site_occupancy
Pm1 0.0950 0.0950 0.0950 1
Pm2 0.9050 0.9050 0.9050 1
Pa1 0.0000 0.0000 0.0000 1
Zn1 0.5000 0.5000 0.5000 1
# **ΔE_f**: 0.278 eV per atom
# **Theoretical density**: 8.954 g cm⁻³
# **ΔE to the lowest computed polymorph**: 291 meV per atom

---

Record 13
# PmPaZn17 (PBE, optimized geometry)
data_PmPaZn17
_cell_length_a 6.8086
_cell_length_b 6.8086
_cell_length_c 6.8086
_cell_angle_alpha 82.81
_cell_angle_beta 82.81
_cell_angle_gamma 82.81
_space_group_name_H-M_alt 'P 1'
_space_group_IT_number 1
loop_
_space_group_symop_operation_xyz
'x,y,z'
loop_
_atom_site_label
_atom_site_fract_x
_atom_site_fract_y
_atom_site_fract_z
_atom_site_occupancy
Pm1 0.0000 0.0000 0.0000 1
Pa1 0.3273 0.3273 0.3273 1
Zn1 0.0184 0.0184 0.4980 1
Zn2 0.0184 0.4980 0.0184 1
Zn3 0.1628 0.6634 0.6634 1
Zn4 0.3130 0.3130 0.8196 1
Zn5 0.3130 0.8196 0.3130 1
Zn6 0.3686 0.6625 0.9590 1
Zn7 0.3686 0.9590 0.6625 1
Zn8 0.4980 0.0184 0.0184 1
Zn9 0.5623 0.5623 0.5623 1
Zn10 0.6634 0.1628 0.6634 1
Zn11 0.6625 0.3686 0.9590 1
Zn12 0.6634 0.6634 0.1628 1
Zn13 0.6625 0.9590 0.3686 1
Zn14 0.7616 0.7616 0.7616 1
Zn15 0.8196 0.3130 0.3130 1
Zn16 0.9590 0.3686 0.6625 1
Zn17 0.9590 0.6625 0.3686 1
# **ΔE_f**: -0.180 eV per atom
# **Theoretical density**: 8.003 g cm⁻³

---

Record 14
# PmPaZn4 (PBE, optimized geometry)
data_PmPaZn4
_cell_length_a 5.4839
_cell_length_b 5.4839
_cell_length_c 5.4839
_cell_angle_alpha 60.00
_cell_angle_beta 60.00
_cell_angle_gamma 60.00
_space_group_name_H-M_alt 'P 1'
_space_group_IT_number 1
loop_
_space_group_symop_operation_xyz
'x,y,z'
loop_
_atom_site_label
_atom_site_fract_x
_atom_site_fract_y
_atom_site_fract_z
_atom_site_occupancy
Pm1 0.0000 0.0000 0.0000 1
Pa1 0.2500 0.2500 0.2500 1
Zn1 0.1255 0.6248 0.6248 1
Zn2 0.6248 0.1255 0.6248 1
Zn3 0.6248 0.6248 0.1255 1
Zn4 0.6248 0.6248 0.6248 1
# **ΔE_f**: -0.149 eV per atom
# **Theoretical density**: 9.080 g cm⁻³

---

Record 15
# Pm2PaZn (PBE, optimized geometry)
data_Pm2PaZn
_cell_length_a 3.4678
_cell_length_b 3.4678
_cell_length_c 8.8757
_cell_angle_alpha 90.00
_cell_angle_beta 90.00
_cell_angle_gamma 90.00
_space_group_name_H-M_alt 'P 1'
_space_group_IT_number 1
loop_
_space_group_symop_operation_xyz
'x,y,z'
loop_
_atom_site_label
_atom_site_fract_x
_atom_site_fract_y
_atom_site_fract_z
_atom_site_occupancy
Pm1 0.0000 0.0000 0.2254 1
Pm2 0.0000 0.0000 0.7746 1
Pa1 0.5000 0.5000 0.5000 1
Zn1 0.5000 0.5000 0.0000 1
# **ΔE_f**: -0.013 eV per atom
# **Theoretical density**: 9.123 g cm⁻³
# **ΔE to the lowest computed polymorph**: 0 meV per atom

---

Record 16
# Pm2PaZn (PBE, optimized geometry)
data_Pm2PaZn
_cell_length_a 4.8591
_cell_length_b 4.8591
_cell_length_c 4.4700
_cell_angle_alpha 90.00
_cell_angle_beta 90.00
_cell_angle_gamma 90.00
_space_group_name_H-M_alt 'P 1'
_space_group_IT_number 1
loop_
_space_group_symop_operation_xyz
'x,y,z'
loop_
_atom_site_label
_atom_site_fract_x
_atom_site_fract_y
_atom_site_fract_z
_atom_site_occupancy
Pm1 0.0000 0.5000 0.0000 1
Pm2 0.5000 0.0000 0.0000 1
Pa1 0.0000 0.0000 0.5000 1
Zn1 0.5000 0.5000 0.5000 1
# **ΔE_f**: 0.171 eV per atom
# **Theoretical density**: 9.227 g cm⁻³
# **ΔE to the lowest computed polymorph**: 183 meV per atom

---

Record 17
# PmPaZn2 (PBE, optimized geometry)
data_PmPaZn2
_cell_length_a 5.0696
_cell_length_b 5.0696
_cell_length_c 5.0696
_cell_angle_alpha 60.00
_cell_angle_beta 60.00
_cell_angle_gamma 60.00
_space_group_name_H-M_alt 'P 1'
_space_group_IT_number 1
loop_
_space_group_symop_operation_xyz
'x,y,z'
loop_
_atom_site_label
_atom_site_fract_x
_atom_site_fract_y
_atom_site_fract_z
_atom_site_occupancy
Pm1 0.0000 0.0000 0.0000 1
Pa1 0.5000 0.5000 0.5000 1
Zn1 0.2500 0.2500 0.2500 1
Zn2 0.7500 0.7500 0.7500 1
# **ΔE_f**: 0.000 eV per atom
# **Theoretical density**: 9.135 g cm⁻³
# **ΔE to the lowest computed polymorph**: 84 meV per atom

---

Record 18
# PmPaZn2 (PBE, optimized geometry)
data_PmPaZn2
_cell_length_a 9.9898
_cell_length_b 9.9898
_cell_length_c 9.9898
_cell_angle_alpha 19.21
_cell_angle_beta 19.21
_cell_angle_gamma 19.21
_space_group_name_H-M_alt 'P 1'
_space_group_IT_number 1
loop_
_space_group_symop_operation_xyz
'x,y,z'
loop_
_atom_site_label
_atom_site_fract_x
_atom_site_fract_y
_atom_site_fract_z
_atom_site_occupancy
Pm1 0.0000 0.0000 0.0000 1
Pa1 0.5000 0.5000 0.5000 1
Zn1 0.2490 0.2490 0.2490 1
Zn2 0.7510 0.7510 0.7510 1
# **ΔE_f**: 0.077 eV per atom
# **Theoretical density**: 8.925 g cm⁻³
# **ΔE to the lowest computed polymorph**: 162 meV per atom

---

Record 19
# PmPaZn2 (PBE, optimized geometry)
data_PmPaZn2
_cell_length_a 3.2297
_cell_length_b 3.2297
_cell_length_c 8.5595
_cell_angle_alpha 90.00
_cell_angle_beta 90.00
_cell_angle_gamma 90.00
_space_group_name_H-M_alt 'P 1'
_space_group_IT_number 1
loop_
_space_group_symop_operation_xyz
'x,y,z'
loop_
_atom_site_label
_atom_site_fract_x
_atom_site_fract_y
_atom_site_fract_z
_atom_site_occupancy
Pm1 0.0000 0.0000 0.0000 1
Pa1 0.0000 0.0000 0.5000 1
Zn1 0.5000 0.5000 0.2549 1
Zn2 0.5000 0.5000 0.7451 1
# **ΔE_f**: -0.085 eV per atom
# **Theoretical density**: 9.427 g cm⁻³
# **ΔE to the lowest computed polymorph**: 0 meV per atom

---

Record 20
# Pr4Pa (PBE, optimized geometry)
data_Pr4Pa
_cell_length_a 5.8205
_cell_length_b 5.8205
_cell_length_c 5.8205
_cell_angle_alpha 90.00
_cell_angle_beta 90.00
_cell_angle_gamma 90.00
_space_group_name_H-M_alt 'P 1'
_space_group_IT_number 1
loop_
_space_group_symop_operation_xyz
'x,y,z'
loop_
_atom_site_label
_atom_site_fract_x
_atom_site_fract_y
_atom_site_fract_z
_atom_site_occupancy
Pr1 0.0000 0.0000 0.0000 1
Pr2 0.0000 0.5000 0.5000 1
Pr3 0.5000 0.0000 0.5000 1
Pr4 0.5000 0.5000 0.0000 1
Pa1 0.5000 0.5000 0.5000 1
# **ΔE_f**: 0.677 eV per atom
# **Theoretical density**: 6.692 g cm⁻³